# 1
5
Lattice="-0.8627 -2.4015 -4.9867 -1.4706 -4.7661 2.5496 -5.3359 1.7018 0.1035" Properties=species:S:1:pos:R:3 comment="PBE Na3VNi, relaxed" e_form_ev_per_atom=1.508 e_above_lowest_polymorph_ev_per_atom=0.380 pbc="T T T"
Na -0.7353 -2.3830 1.2748
Na -2.6679 0.8509 0.0518
Na -0.4313 -1.2007 -2.4934
V 0.0000 0.0000 0.0000
Ni -3.8346 -2.7329 -1.1668

***

# 2
11
Lattice="4.9878 0.0000 0.0000 2.4939 4.3195 0.0000 2.4939 1.4398 14.2531" Properties=species:S:1:pos:R:3 comment="PBE Na2Cd4Hg5, relaxed" e_form_ev_per_atom=-0.036 e_above_lowest_polymorph_ev_per_atom=0.065 pbc="T T T"
Na 7.4816 4.3195 5.8919
Na 2.4939 1.4398 8.3612
Hg 4.9878 2.8797 0.8582
Hg 2.4939 1.4398 5.0170
Hg 4.9878 2.8797 13.3949
Hg 4.9878 2.8797 7.1265
Hg 7.4816 4.3195 9.2361
Cd 4.9878 2.8797 10.4462
Cd 4.9878 2.8797 3.8069
Cd 2.4939 1.4398 2.0933
Cd 7.4816 4.3195 12.1598

***

# 3
5
Lattice="-2.0021 3.2042 2.6085 -3.5961 -3.1166 1.0683 2.3687 -1.4848 3.6420" Properties=species:S:1:pos:R:3 comment="PBE YHfV2Rh, relaxed" e_form_ev_per_atom=1.464 pbc="T T T"
V 1.1844 -0.7424 1.8210
V -1.0010 1.6021 1.3042
Rh -1.7980 -1.5583 0.5342
Y 0.0000 0.0000 0.0000
Hf -1.6147 -0.6985 3.6594

***

# 4
5
Lattice="3.9783 0.0000 0.0000 0.0000 3.9783 0.0000 1.9891 1.9891 5.4547" Properties=species:S:1:pos:R:3 comment="PBE NiRu2Se2, relaxed" e_above_lowest_polymorph_ev_per_atom=0.269 pbc="T T T"
Ru 1.9891 1.9891 1.2509
Ru 3.9783 3.9783 4.2038
Se 1.9891 3.9783 2.7274
Se 3.9783 1.9891 2.7274
Ni 0.0000 0.0000 0.0000

***

# 5
6
Lattice="4.3915 0.0000 0.0000 -2.1958 3.8032 0.0000 0.0000 0.0000 7.5265" Properties=species:S:1:pos:R:3 comment="PBE AcScAs2Pd2, relaxed" e_form_ev_per_atom=-1.113 pbc="T T T"
Pd 2.1958 1.2677 2.3704
Pd 0.0000 2.5354 5.1560
As 2.1958 1.2677 5.4897
As 0.0000 2.5354 2.0367
Ac 0.0000 0.0000 0.0000
Sc 0.0000 0.0000 3.7632

***

# 6
3
Lattice="7.8728 0.0393 -0.0263 6.7995 3.2490 -0.0429 1.0734 -1.2437 2.9590" Properties=species:S:1:pos:R:3 comment="PBE AlPBr, relaxed" e_above_lowest_polymorph_ev_per_atom=0.177 pbc="T T T"
P 9.4354 1.5430 1.0970
Al 1.1733 -1.2104 2.9367
Br 6.2103 0.4682 1.8151